The following is a PBE calculation of crystalline Nd3Al3Ga at its relaxed geometry, from Alexandria.

a b c (Å): 4.3254 4.3744 19.2219
angles (deg): 90.00 90.00 90.00
Positions (direct):
Nd 0.0000 0.0000 0.0000
Nd 0.0000 0.0000 0.3708
Nd 0.0000 0.5000 0.6830
Nd 0.5000 0.0000 0.1830
Nd 0.5000 0.5000 0.5000
Nd 0.5000 0.5000 0.8708
Al 0.0000 0.0000 0.5462
Al 0.0000 0.0000 0.8230
Al 0.0000 0.5000 0.2487
Al 0.5000 0.0000 0.7487
Al 0.5000 0.5000 0.0462
Al 0.5000 0.5000 0.3230
Ga 0.0000 0.5000 0.1187
Ga 0.5000 0.0000 0.6187

Output
The total energy comes out at -4.53 eV/atom. The energy relative to the elements comes out at -452 meV per atom. Its total magnetization is 0.03 μB per atom. Its space group is Imm2 (44). The calculation puts the density of states at the Fermi level at 1.01 states/eV per atom.

=====

The following is a PBE calculation of crystalline Nd8AlGa2 at its relaxed geometry, from Alexandria.

a b c (Å): 8.9775 8.9775 8.9775
angles (deg): 147.25 122.70 67.59
Positions (direct):
Nd 0.1166 0.3398 0.7768
Nd 0.1397 0.1397 0.0000
Nd 0.3168 0.0000 0.3168
Nd 0.4370 0.6602 0.7768
Nd 0.5630 0.3398 0.2232
Nd 0.6832 0.0000 0.6832
Nd 0.8603 0.8603 0.0000
Nd 0.8834 0.6602 0.2232
Al 0.0000 0.5000 0.5000
Ga 0.3078 0.8078 0.5000
Ga 0.6922 0.1922 0.5000

Output
The total energy comes out at -4.57 eV/atom. For the excess energy over the best structure of this formula in the dataset, the calculation gives 0.27 eV/f.u. The energy relative to the elements comes out at -212 meV per atom. Its total magnetization is 0.00 μB per atom. Its space group is Immm (71). The calculation puts the density of states at the Fermi level at 1.08 states/eV per atom.

=====

The following is a PBE calculation of crystalline Nd2AlGa12 at its relaxed geometry, from Alexandria.

a b c (Å): 6.3683 6.3683 15.0384
angles (deg): 90.00 90.00 90.00
Positions (direct):
Nd 0.2500 0.7500 0.2432
Nd 0.2500 0.7500 0.7568
Nd 0.7500 0.2500 0.2432
Nd 0.7500 0.2500 0.7568
Al 0.2500 0.7500 0.0000
Al 0.7500 0.2500 0.0000
Ga 0.0008 0.5008 0.0901
Ga 0.0008 0.9992 0.9099
Ga 0.0796 0.5796 0.5717
Ga 0.0796 0.9204 0.4283
Ga 0.2500 0.2500 0.1805
Ga 0.2500 0.2500 0.3448
Ga 0.2500 0.2500 0.6552
Ga 0.2500 0.2500 0.8195
Ga 0.4204 0.5796 0.4283
Ga 0.4204 0.9204 0.5717
Ga 0.4992 0.5008 0.9099
Ga 0.4992 0.9992 0.0901
Ga 0.5008 0.0008 0.9099
Ga 0.5008 0.4992 0.0901
Ga 0.5796 0.0796 0.4283
Ga 0.5796 0.4204 0.5717
Ga 0.7500 0.7500 0.1805
Ga 0.7500 0.7500 0.3448
Ga 0.7500 0.7500 0.6552
Ga 0.7500 0.7500 0.8195
Ga 0.9204 0.0796 0.5717
Ga 0.9204 0.4204 0.4283
Ga 0.9992 0.0008 0.0901
Ga 0.9992 0.4992 0.9099

Output
The total energy comes out at -3.59 eV/atom. The energy relative to the elements comes out at -284 meV per atom. Its total magnetization is 0.00 μB per atom. Its space group is P4/nbm (125). The calculation puts the density of states at the Fermi level at 0.28 states/eV per atom.

=====

The following is a PBE calculation of crystalline Nd7Al5Ga at its relaxed geometry, from Alexandria.

a b c (Å): 8.0915 8.0915 8.0915
angles (deg): 132.89 103.82 94.61
Positions (direct):
Nd 0.0000 0.0000 0.0000
Nd 0.2800 0.5937 0.6863
Nd 0.3748 0.3748 0.0000
Nd 0.4124 0.0887 0.3238
Nd 0.7649 0.0887 0.6762
Nd 0.8267 0.3267 0.5000
Nd 0.9074 0.5937 0.3137
Al 0.0929 0.0594 0.4608
Al 0.0929 0.6321 0.0335
Al 0.3378 0.8378 0.5000
Al 0.5985 0.0594 0.9665
Al 0.5985 0.6321 0.5392
Ga 0.6770 0.6770 0.0000

Output
The total energy comes out at -4.45 eV/atom. The energy relative to the elements comes out at -210 meV per atom. Its total magnetization is 0.00 μB per atom. Its space group is Imm2 (44). The calculation puts the density of states at the Fermi level at 0.80 states/eV per atom.

=====

The following is a PBE calculation of crystalline NdAl7Ga12 at its relaxed geometry, from Alexandria.

a b c (Å): 8.3026 8.3026 8.3026
angles (deg): 109.47 109.47 109.47
Positions (direct):
Nd 0.0000 0.0000 0.0000
Al 0.0000 0.0000 0.5000
Al 0.0000 0.5000 0.0000
Al 0.0000 0.5000 0.5000
Al 0.5000 0.0000 0.0000
Al 0.5000 0.0000 0.5000
Al 0.5000 0.5000 0.0000
Al 0.5000 0.5000 0.5000
Ga 0.1149 0.7629 0.3520
Ga 0.2371 0.3520 0.5890
Ga 0.2371 0.6480 0.8851
Ga 0.3520 0.1149 0.7629
Ga 0.3520 0.5890 0.2371
Ga 0.4110 0.7629 0.6480
Ga 0.5890 0.2371 0.3520
Ga 0.6480 0.4110 0.7629
Ga 0.6480 0.8851 0.2371
Ga 0.7629 0.3520 0.1149
Ga 0.7629 0.6480 0.4110
Ga 0.8851 0.2371 0.6480

Output
The total energy comes out at -3.20 eV/atom. The energy relative to the elements comes out at 168 meV per atom. Its total magnetization is 0.00 μB per atom. Its space group is Im-3 (204). The calculation puts the density of states at the Fermi level at 0.40 states/eV per atom.

=====

The following is a PBE calculation of crystalline Nd12AlGa6 at its relaxed geometry, from Alexandria.

a b c (Å): 8.9521 8.9521 8.9521
angles (deg): 108.46 108.46 108.46
Positions (direct):
Nd 0.0005 0.3045 0.8541
Nd 0.1262 0.4552 0.3632
Nd 0.1459 0.9995 0.6955
Nd 0.3045 0.8541 0.0005
Nd 0.3632 0.1262 0.4552
Nd 0.4552 0.3632 0.1262
Nd 0.5448 0.6368 0.8738
Nd 0.6368 0.8738 0.5448
Nd 0.6955 0.1459 0.9995
Nd 0.8541 0.0005 0.3045
Nd 0.8738 0.5448 0.6368
Nd 0.9995 0.6955 0.1459
Al 0.0000 0.0000 0.0000
Ga 0.1866 0.3253 0.6337
Ga 0.3253 0.6337 0.1866
Ga 0.3663 0.8134 0.6747
Ga 0.6337 0.1866 0.3253
Ga 0.6747 0.3663 0.8134
Ga 0.8134 0.6747 0.3663

Output
The total energy comes out at -4.37 eV/atom. The energy relative to the elements comes out at -211 meV per atom. Its total magnetization is 0.00 μB per atom. Its space group is R-3 (148). The calculation puts the density of states at the Fermi level at 1.03 states/eV per atom.